DFT (PBEsol) results for a relaxed TlGa2Au2 crystal.

Output
* formation energy from the elements: -0.121 eV per atom
* V: 20.067 A^3/atom

a b c (Å): 4.070 4.070 12.115
angles (deg): 90.00 90.00 90.00
Space group I4/mmm (No. 139)
Symmetry-distinct sites (fractional):
Tl (0.000, 0.000, 0.000) (multiplicity 2)
Ga (0.000, 0.500, 0.250) (multiplicity 4)
Au (0.000, 0.000, 0.386) (multiplicity 4)